Record 1
! KNp2CuSe4, optimized geometry, DFT PBE-GGA; values from VASP
! - Space-group type: Cmcm
! - Formation energy without anion corrections: -24.303 kcal/mol of atoms
! - M_tot: 16.0 μB/cell
! - V: 422 Å³/cell
&SYSTEM
  ibrav = 0, nat = 16, ntyp = 4
/
ATOMIC_SPECIES
K 39.10 K.upf
Np 237.00 Np.upf
Cu 63.55 Cu.upf
Se 78.96 Se.upf
CELL_PARAMETERS angstrom
4.140 0.000 0.000
-2.070 7.100 0.000
0.000 0.000 14.345
ATOMIC_POSITIONS crystal
K 0.110 0.220 0.750
K 0.890 0.780 0.250
Np 0.367 0.734 0.561
Np 0.633 0.266 0.061
Np 0.633 0.266 0.439
Np 0.367 0.734 0.939
Cu 0.839 0.678 0.750
Cu 0.161 0.322 0.250
Se 0.264 0.529 0.112
Se 0.736 0.471 0.612
Se 0.736 0.471 0.888
Se 0.264 0.529 0.388
Se 0.000 0.000 0.500
Se 0.000 0.000 0.000
Se 0.433 0.866 0.750
Se 0.567 0.134 0.250

---

Record 2
! LaBe2Au2, optimized geometry, DFT PBE-GGA; values from VASP
! - Space-group type: P4/mbm
! - Formation energy: -9 kJ/mol of atoms
! - M_tot: 0.0 μB/cell
! - V: 171 Å³/cell
&SYSTEM
  ibrav = 0, nat = 10, ntyp = 3
/
ATOMIC_SPECIES
Be 9.01 Be.upf
Au 196.97 Au.upf
La 138.91 La.upf
CELL_PARAMETERS angstrom
-5.167 -3.185 -4.695
5.248 -0.271 -5.592
0.818 -2.647 0.896
ATOMIC_POSITIONS crystal
Be 0.392 0.892 0.000
Be 0.892 0.608 0.000
Be 0.608 0.108 0.000
Be 0.108 0.392 0.000
Au 0.165 0.665 0.500
Au 0.665 0.835 0.500
Au 0.835 0.335 0.500
Au 0.335 0.165 0.500
La 0.000 0.000 0.000
La 0.500 0.500 0.000

---

Record 3
! In2SiSb, optimized geometry, DFT PBE-GGA; values from VASP
! - Space-group type: Cmm2
! - Formation energy without anion corrections: 6.622 kcal/mol of atoms
! - M_tot: 0.0 μB/cell
! - V: 100 Å³/cell
&SYSTEM
  ibrav = 0, nat = 4, ntyp = 3
/
ATOMIC_SPECIES
In 114.82 In.upf
Sb 121.76 Sb.upf
Si 28.09 Si.upf
CELL_PARAMETERS angstrom
-1.961 1.680 2.084
-1.917 -1.008 -2.514
-1.915 -8.054 4.691
ATOMIC_POSITIONS crystal
In 0.000 0.000 0.970
In 0.500 0.500 0.249
Sb 0.000 0.000 0.539
Si 0.500 0.500 0.741

---

Record 4
! Bi6PdRu, optimized geometry, DFT PBE-GGA; values from VASP
! - Space-group type: P-1
! - Formation energy: 3 kJ/mol of atoms
! - M_tot: 0.0 μB/cell
! - V: 227 Å³/cell
&SYSTEM
  ibrav = 0, nat = 8, ntyp = 3
/
ATOMIC_SPECIES
Bi 208.98 Bi.upf
Pd 106.42 Pd.upf
Ru 101.07 Ru.upf
CELL_PARAMETERS angstrom
6.921 0.453 0.369
3.833 5.363 0.476
3.870 2.209 6.735
ATOMIC_POSITIONS crystal
Bi 0.008 0.491 0.714
Bi 0.732 0.041 0.820
Bi 0.572 0.225 0.293
Bi 0.268 0.959 0.180
Bi 0.992 0.509 0.286
Bi 0.428 0.775 0.707
Pd 0.500 0.500 0.500
Ru 0.000 0.000 0.000

---

Record 5
! Rb2RhC2, optimized geometry, DFT PBE-GGA; values from VASP
! - Space-group type: I4/mmm
! - Formation energy: 114 kJ/mol of atoms
! - M_tot: 1.0 μB/cell
! - V: 117 Å³/cell
&SYSTEM
  ibrav = 0, nat = 5, ntyp = 3
/
ATOMIC_SPECIES
C 12.01 C.upf
Rh 102.91 Rh.upf
Rb 85.47 Rb.upf
CELL_PARAMETERS angstrom
-3.999 -0.065 -2.460
0.847 -4.444 -1.259
-4.193 -3.971 2.440
ATOMIC_POSITIONS crystal
C 0.440 0.440 0.120
C 0.560 0.560 0.880
Rh 0.000 0.000 0.000
Rb 0.750 0.250 0.500
Rb 0.250 0.750 0.500

---

Record 6
! HfTi2BiB, optimized geometry, DFT PBE-GGA; values from VASP
! - Space-group type: P4/mmm
! - Formation energy: -25 kJ/mol of atoms
! - M_tot: 0.0 μB/cell
! - V: 89 Å³/cell
&SYSTEM
  ibrav = 0, nat = 5, ntyp = 4
/
ATOMIC_SPECIES
B 10.81 B.upf
Hf 178.49 Hf.upf
Bi 208.98 Bi.upf
Ti 47.87 Ti.upf
CELL_PARAMETERS angstrom
-4.096 -0.334 -1.466
1.200 -3.287 -2.606
-0.971 -3.058 3.409
ATOMIC_POSITIONS crystal
B 0.000 0.000 0.000
Hf 0.000 0.000 0.500
Bi 0.500 0.500 0.500
Ti 0.000 0.500 0.000
Ti 0.500 0.000 0.000

---

Record 7
! YCr2Cl, optimized geometry, DFT PBE-GGA; values from VASP
! - Space-group type: P2/m
! - Formation energy without anion corrections: 7.463 kcal/mol of atoms
! - M_tot: 7.9 μB/cell
! - V: 83 Å³/cell
&SYSTEM
  ibrav = 0, nat = 4, ntyp = 3
/
ATOMIC_SPECIES
Y 88.91 Y.upf
Cr 52.00 Cr.upf
Cl 35.45 Cl.upf
CELL_PARAMETERS angstrom
4.585 0.000 0.000
0.000 3.430 0.308
0.000 1.109 5.391
ATOMIC_POSITIONS crystal
Y 0.500 0.250 0.250
Cr 0.000 0.871 0.983
Cr 0.000 0.629 0.517
Cl 0.500 0.750 0.750